[1]
Zr2TlGa2 | PBE-GGA | relaxed

abc: 7.0973 7.0973 3.9804
angles: 90.00 90.00 90.00
Closest atoms and distances in Å follow each position.
Element x y z (fractional)
Tl1 0.5000 0.5000 0.0000  4 Ga 2.82
Tl2 0.0000 0.0000 0.0000  4 Ga 2.82
Ga1 0.6224 0.1224 0.0000  1 Ga 2.46
Ga2 0.8776 0.6224 0.0000  1 Ga 2.46
Ga3 0.1224 0.3776 0.0000  1 Ga 2.46
Ga4 0.3776 0.8776 0.0000  1 Ga 2.46
Zr1 0.1765 0.6765 0.5000  6 Ga 2.83-2.93
Zr2 0.3235 0.1765 0.5000  6 Ga 2.83-2.93
Zr3 0.6765 0.8235 0.5000  6 Ga 2.83-2.93
Zr4 0.8235 0.3235 0.5000  6 Ga 2.83-2.93

Computed properties:
The energy above the most stable polymorph in this dataset is 0.000 eV/atom. For the formation energy, the calculation gives -329 meV/atom. As for the space group: No. 127.

[2]
OsWBr2 | PBE-GGA | relaxed

abc: 3.0329 3.0329 9.0997
angles: 90.00 90.00 90.00
Closest atoms and distances in Å follow each position.
Element x y z (fractional)
Br1 0.5000 0.5000 0.3198  4 Os 2.96, 4 Br 3.03
Br2 0.0000 0.0000 0.9189  4 W 2.82, 4 Br 3.03
W1 0.5000 0.5000 0.7174  4 Os 2.66, 4 Br 2.82
Os1 0.0000 0.0000 0.5439  4 W 2.66, 4 Br 2.96

Computed properties:
Its uncorrected formation energy is 0.413 eV per atom. The energy above the most stable polymorph in this dataset is 0.204 eV/atom. As for the space group: No. 99.

[3]
LaPmSmTh | PBE-GGA | relaxed

abc: 5.7957 5.7957 5.7957
angles: 60.00 60.00 60.00
Closest atoms and distances in Å follow each position.
Element x y z (fractional)
Pm1 0.0000 0.0000 0.0000  4 La 3.55, 4 Th 3.55
Th1 0.7500 0.7500 0.7500  4 Sm 3.55, 4 Pm 3.55
Sm1 0.5000 0.5000 0.5000  4 La 3.55, 4 Th 3.55
La1 0.2500 0.2500 0.2500  4 Pm 3.55, 4 Sm 3.55

Computed properties:
The energy above the most stable polymorph in this dataset is 0.136 eV/atom. For the formation energy, the calculation gives 164 meV/atom. As for the space group: No. 216.

[4]
BeWSe2 | PBE-GGA | relaxed

abc: 3.1240 3.1240 7.6720
angles: 90.00 90.00 90.02
Closest atoms and distances in Å follow each position.
Element x y z (fractional)
Se1 0.5000 0.5000 0.3502  4 W 2.66, 1 Be 2.95
Se2 0.0000 0.0000 0.8708  4 Be 2.44, 1 W 2.51
W1 0.0000 0.0000 0.5440  5 Se 2.51-2.66, 4 Be 2.65
Be1 0.5000 0.5000 0.7350  4 Se 2.44, 4 W 2.65

Computed properties:
Its uncorrected formation energy is -0.004 eV per atom. As for the space group: No. 99.

[5]
ZrTi2Zn2 | PBE-GGA | relaxed

abc: 2.9029 2.8679 10.5242
angles: 82.17 90.00 90.00
Closest atoms and distances in Å follow each position.
Element x y z (fractional)
Zr1 0.0000 0.0000 0.0000  4 Zr 2.87-2.90, 8 Zn 2.96
Zn1 0.5000 0.3972 0.2056  4 Ti 2.78, 4 Zn 2.87-2.90, 4 Zr 2.96
Zn2 0.5000 0.6028 0.7944  4 Ti 2.78, 4 Zn 2.87-2.90, 4 Zr 2.96
Ti1 0.0000 0.8064 0.3873  6 Ti 2.75-2.90, 4 Zn 2.78
Ti2 0.0000 0.1936 0.6127  6 Ti 2.75-2.90, 4 Zn 2.78

Computed properties:
The energy above the most stable polymorph in this dataset is 0.053 eV/atom. For the formation energy, the calculation gives -41 meV/atom. As for the space group: No. 65.

[6]
LaPmZn | PBE-GGA | relaxed

abc: 3.7845 5.0775 5.0775
angles: 120.00 90.00 90.00
Closest atoms and distances in Å follow each position.
Element x y z (fractional)
Pm1 0.0525 0.0000 0.0000  3 Zn 3.08, 3 La 3.32
Zn1 0.3059 0.3333 0.6667  3 Pm 3.08, 3 La 3.20
La1 0.6416 0.6667 0.3333  3 Zn 3.20, 3 Pm 3.32

Computed properties:
The energy above the most stable polymorph in this dataset is 0.127 eV/atom. For the formation energy, the calculation gives -71 meV/atom. As for the space group: No. 156.

[7]
ErHIBr | PBE-GGA | relaxed

abc: 3.8875 3.8875 8.2059
angles: 90.06 103.64 120.00
Closest atoms and distances in Å follow each position.
Element x y z (fractional)
H1 0.8365 0.2828 0.1193  3 Er 2.24
I1 0.3463 0.0383 0.3846  3 H 3.07, 3 Er 3.09
Er1 0.5001 0.6146 0.1148  3 H 2.24
Br1 0.0092 0.8687 0.8779  3 Er 2.92, 3 H 2.94

Computed properties:
As for the space group: No. 8.

[8]
MgIn5Hg5 | PBE-GGA | relaxed

abc: 6.0606 7.3504 7.5479
angles: 99.65 104.23 112.17
Closest atoms and distances in Å follow each position.
Element x y z (fractional)
In1 0.5260 0.3394 0.3282  5 Hg 3.01-3.18, 2 In 3.17-3.36, 1 Mg 3.25
In2 0.0000 0.0000 0.5000  4 Hg 3.17, 4 In 3.40-3.48
In3 0.6403 0.1912 0.6964  3 Hg 3.01-3.22, 2 In 3.17-3.27
In4 0.3597 0.8088 0.3036  3 Hg 3.01-3.22, 2 In 3.17-3.27
In5 0.4740 0.6606 0.6718  5 Hg 3.01-3.18, 2 In 3.17-3.36, 1 Mg 3.25
Hg1 0.5000 0.0000 0.0000  4 In 3.01-3.13, 2 Mg 3.03, 2 Hg 3.17
Hg2 0.2270 0.3630 0.8824  1 Mg 2.90, 1 Hg 3.01, 3 In 3.07-3.17
Hg3 0.7730 0.6370 0.1176  1 Mg 2.90, 1 Hg 3.01, 3 In 3.07-3.17
Hg4 0.0239 0.3460 0.2940  5 In 3.01-3.22, 1 Mg 3.01, 2 Hg 3.17-3.33
Hg5 0.9761 0.6540 0.7060  5 In 3.01-3.22, 1 Mg 3.01, 2 Hg 3.17-3.33
Mg1 0.0000 0.0000 0.0000  6 Hg 2.90-3.03, 2 In 3.25

Computed properties:
For the formation energy, the calculation gives -7 meV/atom. As for the space group: No. 2.

| no. | E (eV per atom) |
| --- | --- |
| 1 | -5.432 |
| 2 | -6.469 |
| 3 | -5.290 |
| 4 | -5.916 |
| 5 | -5.418 |
| 6 | -3.722 |
| 7 | -4.115 |
| 8 | -1.534 |